1.
VASP calculation (GGA-PBE) on a relaxed structure of Pr2Hg3Pd4.

Results
Calculated density: 11.1 g/cm3
Energy of formation from the pure elements: -12.14 kcal/mol of atoms
Crystal system: orthorhombic
Space group: Cmce, No. 64
Total magnetization: 0.000 μB per atom

Cell: 9.210 9.210 7.623 Å, 90.00 90.00 142.72°
Fractional positions:
Pr1 0.108 0.892 0.919
Pr2 0.392 0.608 0.419
Pr3 0.608 0.392 0.581
Pr4 0.892 0.108 0.081
Hg1 0.000 0.000 0.500
Hg2 0.013 0.487 0.750
Hg3 0.487 0.013 0.250
Hg4 0.500 0.500 0.000
Hg5 0.513 0.987 0.750
Hg6 0.987 0.513 0.250
Pd1 0.161 0.839 0.525
Pd2 0.176 0.324 0.750
Pd3 0.324 0.176 0.250
Pd4 0.339 0.661 0.025
Pd5 0.661 0.339 0.975
Pd6 0.676 0.824 0.750
Pd7 0.824 0.676 0.250
Pd8 0.839 0.161 0.475

---

2.
VASP calculation (GGA-PBE) on a relaxed structure of RhAu.

Results
Calculated density: 15.4 g/cm3
Energy of formation from the pure elements: 5.31 kcal/mol of atoms
Crystal system: hexagonal
Space group: P6_3/mmc, No. 194
Total magnetization: 0.301 μB per atom

Cell: 2.831 2.831 9.302 Å, 90.00 90.00 120.00°
Fractional positions:
Rh1 0.333 0.667 0.250
Rh2 0.667 0.333 0.750
Au1 0.000 0.000 0.000
Au2 0.000 0.000 0.500

---

3.
VASP calculation (GGA-PBE) on a relaxed structure of Sm2Sn3Hg3.

Results
Calculated density: 10.2 g/cm3
Energy of formation from the pure elements: -10.89 kcal/mol of atoms
Crystal system: orthorhombic
Space group: Pmmm, No. 47
Total magnetization: 0.000 μB per atom

Cell: 4.659 4.786 9.145 Å, 90.00 90.00 90.00°
Fractional positions:
Sm1 0.000 0.000 0.247
Sm2 0.000 0.000 0.753
Sn1 0.000 0.500 0.000
Sn2 0.500 0.000 0.000
Sn3 0.500 0.000 0.500
Hg1 0.000 0.500 0.500
Hg2 0.500 0.500 0.255
Hg3 0.500 0.500 0.745

---

4.
VASP calculation (GGA-PBE) on a relaxed structure of Li2BeCo2.

Results
Calculated density: 3.8 g/cm3
Energy of formation from the pure elements: 5.45 kcal/mol of atoms
Crystal system: tetragonal
Space group: P4/mbm, No. 127
Total magnetization: 0.420 μB per atom

Cell: 5.436 5.436 4.211 Å, 90.00 90.00 90.00°
Fractional positions:
Li1 0.173 0.327 0.000
Li2 0.327 0.827 0.000
Li3 0.673 0.173 0.000
Li4 0.827 0.673 0.000
Be1 0.000 0.000 0.500
Be2 0.500 0.500 0.500
Co1 0.142 0.642 0.500
Co2 0.358 0.142 0.500
Co3 0.642 0.858 0.500
Co4 0.858 0.358 0.500

---

5.
VASP calculation (GGA-PBE) on a relaxed structure of TbTm6Zn2.

Results
Calculated density: 9.0 g/cm3
Energy of formation from the pure elements: -3.30 kcal/mol of atoms
Crystal system: monoclinic
Space group: C2/m, No. 12
Total magnetization: 0.000 μB per atom

Cell: 6.398 6.398 11.619 Å, 108.50 108.50 32.39°
Fractional positions:
Tb1 0.000 0.000 0.000
Tm1 0.023 0.023 0.330
Tm2 0.310 0.310 0.125
Tm3 0.316 0.316 0.413
Tm4 0.684 0.684 0.587
Tm5 0.690 0.690 0.875
Tm6 0.977 0.977 0.670
Zn1 0.349 0.349 0.792
Zn2 0.651 0.651 0.208

---

6.
VASP calculation (GGA-PBE) on a relaxed structure of U3Tl3AgS8.

Results
Calculated density: 6.8 g/cm3
Crystal system: trigonal
Space group: R-3m, No. 166
Total magnetization: 0.400 μB per atom
E_form (uncorrected): -939.0 meV per atom

Cell: 8.839 8.839 8.839 Å, 53.17 53.17 53.17°
Fractional positions:
U1 0.000 0.500 0.500
U2 0.500 0.000 0.500
U3 0.500 0.500 0.000
Tl1 0.000 0.000 0.500
Tl2 0.000 0.500 0.000
Tl3 0.500 0.000 0.000
Ag1 0.000 0.000 0.000
S1 0.241 0.241 0.714
S2 0.241 0.714 0.241
S3 0.267 0.267 0.267
S4 0.286 0.759 0.759
S5 0.714 0.241 0.241
S6 0.733 0.733 0.733
S7 0.759 0.286 0.759
S8 0.759 0.759 0.286